# Ba2SbTeIr (PBE, optimized geometry)
data_Ba2SbTeIr
_chemical_formula_sum 'Ba2 Sb1 Te1 Ir1'
_cell_length_a 6.246
_cell_length_b 6.246
_cell_length_c 4.913
_cell_angle_alpha 90.00
_cell_angle_beta 90.00
_cell_angle_gamma 90.00
_symmetry_space_group_name_H-M 'P 4/m m m'
_symmetry_Int_Tables_number 123
_symmetry_space_group_name_Hall '-P 4 2'
loop_
_atom_site_label
_atom_site_type_symbol
_atom_site_fract_x
_atom_site_fract_y
_atom_site_fract_z
Ba1 Ba 0.000 0.500 0.000
Sb1 Sb 0.000 0.000 0.500
Te1 Te 0.500 0.500 0.500
Ir1 Ir 0.000 0.000 0.000
# Calculated density   6.21 g/cm³
# Uncorrected energy   -4.78 eV per atom
# DOS at the Fermi energy   0.325 states/eV per atom
# E_form (uncorrected)   -76.05 kJ/mol of atoms
# Total magnetization   0.0 μB per cell